Record 1
Below is a relaxed CsLiRuPtI crystal, with properties calculated at the GGA-PBE level.

Output
The value obtained for the uncorrected formation energy is -0.1 eV/f.u. The density of states at the Fermi level comes out at 4.3 states/eV/f.u. For the energy relative to the lowest polymorph listed for this composition, the calculation gives 10.9 kJ per mole of atoms. Its space group is Cm (8).

Cell lengths 3.716, 3.735, 19.549 Å; angles 90.00, 100.87, 90.00 degrees
Last column: magnetic moment on the atom in μB.
Positions (direct):
Cs 0.017 0.000 0.784  -0.01
Cs 0.017 0.500 0.284  -0.01
Li 0.801 0.000 0.565  -0.01
Li 0.801 0.500 0.065  -0.01
Ru 0.185 0.000 0.447  1.68
Ru 0.185 0.500 0.947  1.68
Pt 0.687 0.000 0.950  0.42
Pt 0.687 0.500 0.450  0.42
I 0.376 0.000 0.142  0.00
I 0.376 0.500 0.642  0.00


Record 2
Below is a relaxed CsLiRuPtI crystal, with properties calculated at the GGA-PBE level.

Output
The value obtained for the uncorrected formation energy is -0.1 eV/f.u. The density of states at the Fermi level comes out at 3.7 states/eV/f.u. For the energy relative to the lowest polymorph listed for this composition, the calculation gives 10.6 kJ per mole of atoms. Its space group is Amm2 (38).

Cell lengths 4.975, 4.676, 13.474 Å; angles 90.00, 90.00, 90.00 degrees
Last column: magnetic moment on the atom in μB.
Positions (direct):
Cs 0.000 0.000 0.732  0.00
Cs 0.000 0.500 0.232  0.00
Li 0.500 0.000 0.007  0.00
Li 0.500 0.500 0.507  0.00
Ru 0.000 0.000 0.463  0.44
Ru 0.000 0.500 0.963  0.44
Pt 0.000 0.000 0.023  0.16
Pt 0.000 0.500 0.523  0.16
I 0.500 0.000 0.387  0.01
I 0.500 0.500 0.887  0.01


Record 3
Below is a relaxed CsLiRuPtI crystal, with properties calculated at the GGA-PBE level.

Output
The value obtained for the uncorrected formation energy is -0.2 eV/f.u. The density of states at the Fermi level comes out at 4.5 states/eV/f.u. For the energy relative to the lowest polymorph listed for this composition, the calculation gives 9.7 kJ per mole of atoms. Its space group is Imm2 (44).

Cell lengths 4.732, 4.581, 13.512 Å; angles 90.00, 90.00, 90.00 degrees
Last column: magnetic moment on the atom in μB.
Positions (direct):
Cs 0.000 0.500 0.622  0.00
Cs 0.500 0.000 0.122  0.00
Li 0.000 0.000 0.400  -0.01
Li 0.500 0.500 0.900  -0.01
Ru 0.000 0.000 0.888  0.55
Ru 0.500 0.500 0.388  0.55
Pt 0.000 0.500 0.956  0.18
Pt 0.500 0.000 0.456  0.18
I 0.000 0.500 0.292  0.01
I 0.500 0.000 0.792  0.01


Record 4
Below is a relaxed CsLiRuPtI crystal, with properties calculated at the GGA-PBE level.

Output
The value obtained for the uncorrected formation energy is -0.4 eV/f.u. The density of states at the Fermi level comes out at 2.4 states/eV/f.u. For the energy relative to the lowest polymorph listed for this composition, the calculation gives 5.7 kJ per mole of atoms. Its space group is Cm (8).

Cell lengths 9.765, 4.373, 7.165 Å; angles 90.00, 104.55, 90.00 degrees
Last column: magnetic moment on the atom in μB.
Positions (direct):
Cs 0.409 0.000 0.193  0.00
Cs 0.409 0.500 0.693  0.00
Li 0.868 0.000 0.355  -0.01
Li 0.868 0.500 0.855  -0.01
Ru 0.079 0.000 0.761  1.49
Ru 0.079 0.500 0.261  1.49
Pt 0.131 0.000 0.432  0.37
Pt 0.131 0.500 0.932  0.37
I 0.738 0.000 0.653  0.04
I 0.738 0.500 0.153  0.04